NbRePt2: relaxed, PBE.

Cell lengths 3.8324, 3.8324, 9.7690 Å; angles 78.69, 78.69, 90.00 degrees
Last column: nearest neighbours and their distance in Å.
Sites, in units of the cell vectors:
Re1 0.0000 0.0000 0.0000  4 Pt 2.70, 4 Nb 2.71
Re2 0.7500 0.2500 0.5000  4 Pt 2.70, 4 Nb 2.71
Nb1 0.5000 0.5000 0.0000  4 Re 2.71, 4 Pt 2.72
Nb2 0.2500 0.7500 0.5000  4 Re 2.71, 4 Pt 2.72
Pt1 0.6311 0.1250 0.2500  4 Pt 2.68-2.74, 2 Re 2.70, 2 Nb 2.72
Pt2 0.1189 0.6250 0.2500  4 Pt 2.68-2.74, 2 Re 2.70, 2 Nb 2.72
Pt3 0.3750 0.3689 0.7500  4 Pt 2.68-2.74, 2 Re 2.70, 2 Nb 2.72
Pt4 0.8750 0.8811 0.7500  4 Pt 2.68-2.74, 2 Re 2.70, 2 Nb 2.72

Results
- excess energy over the best structure of this formula in the dataset (meV per atom) = 51
- E_form (eV per atom) = 0.16
- total moment (μB per cell) = 0.000

---

Nb2RePt: relaxed, PBE.

Cell lengths 7.2290, 7.2290, 5.8120 Å; angles 51.54, 51.54, 90.00 degrees
Last column: nearest neighbours and their distance in Å.
Sites, in units of the cell vectors:
Re1 0.5000 0.5000 0.0000  4 Nb 2.60, 2 Pt 2.77
Re2 0.2500 0.7500 0.5000  4 Nb 2.60, 2 Pt 2.77
Nb1 0.6161 0.1250 0.2500  2 Re 2.60, 2 Pt 2.69, 2 Nb 2.77
Nb2 0.1339 0.6250 0.2500  2 Re 2.60, 2 Pt 2.69, 2 Nb 2.77
Nb3 0.3750 0.3839 0.7500  2 Re 2.60, 2 Pt 2.69, 2 Nb 2.77
Nb4 0.8750 0.8661 0.7500  2 Re 2.60, 2 Pt 2.69, 2 Nb 2.77
Pt1 0.0000 0.0000 0.0000  4 Nb 2.69, 2 Re 2.77
Pt2 0.7500 0.2500 0.5000  4 Nb 2.69, 2 Re 2.77

Results
- E_form (eV per atom) = 0.30
- total moment (μB per cell) = 0.000

---

NbRe3Pt: relaxed, PBE.

Cell lengths 4.6808, 4.6808, 4.6808 Å; angles 90.00, 90.00, 90.00 degrees
Last column: nearest neighbours and their distance in Å.
Sites, in units of the cell vectors:
Re1 0.0000 0.5000 0.0000  2 Nb 2.34
Re2 0.0000 0.0000 0.5000  2 Nb 2.34
Re3 0.5000 0.0000 0.0000  2 Nb 2.34
Nb1 0.0000 0.0000 0.0000  6 Re 2.34
Pt1 0.5000 0.5000 0.5000  12 Re 3.31

Results
- excess energy over the best structure of this formula in the dataset (meV per atom) = 123
- E_form (eV per atom) = 2.41
- total moment (μB per cell) = 0.000

---

NbRe2Pt: relaxed, PBE.

Cell lengths 4.4888, 4.4888, 4.4888 Å; angles 60.00, 60.00, 60.00 degrees
Last column: nearest neighbours and their distance in Å.
Sites, in units of the cell vectors:
Re1 0.2500 0.2500 0.2500  4 Pt 2.75, 4 Nb 2.75
Re2 0.7500 0.7500 0.7500  4 Nb 2.75, 4 Pt 2.75
Nb1 0.0000 0.0000 0.0000  8 Re 2.75
Pt1 0.5000 0.5000 0.5000  8 Re 2.75

Results
- excess energy over the best structure of this formula in the dataset (meV per atom) = 434
- E_form (eV per atom) = 0.20
- total moment (μB per cell) = 0.000

---

Nb2RePt2: relaxed, PBE.

Cell lengths 7.0941, 7.0941, 3.3997 Å; angles 90.00, 90.00, 90.00 degrees
Last column: nearest neighbours and their distance in Å.
Sites, in units of the cell vectors:
Re1 0.0000 0.0000 0.0000  4 Pt 2.78
Re2 0.5000 0.5000 0.0000  4 Pt 2.78
Nb1 0.1745 0.6745 0.5000  6 Pt 2.60-2.76
Nb2 0.6745 0.8255 0.5000  6 Pt 2.60-2.76
Nb3 0.8255 0.3255 0.5000  6 Pt 2.60-2.76
Nb4 0.3255 0.1745 0.5000  6 Pt 2.60-2.76
Pt1 0.3705 0.8705 0.0000  1 Pt 2.60, 6 Nb 2.60-2.76, 2 Re 2.78
Pt2 0.8705 0.6295 0.0000  1 Pt 2.60, 6 Nb 2.60-2.76, 2 Re 2.78
Pt3 0.6295 0.1295 0.0000  1 Pt 2.60, 6 Nb 2.60-2.76, 2 Re 2.78
Pt4 0.1295 0.3705 0.0000  1 Pt 2.60, 6 Nb 2.60-2.76, 2 Re 2.78

Results
- E_form (eV per atom) = -0.16
- total moment (μB per cell) = 0.000

---

Nb2RePt: relaxed, PBE.

Cell lengths 3.7713, 4.1963, 4.1963 Å; angles 90.00, 90.00, 90.00 degrees
Last column: nearest neighbours and their distance in Å.
Sites, in units of the cell vectors:
Re1 0.5000 0.5000 0.5000  8 Nb 2.82, 4 Pt 2.97
Nb1 0.0000 0.0000 0.5000  4 Re 2.82, 4 Pt 2.82, 4 Nb 2.97
Nb2 0.0000 0.5000 0.0000  4 Pt 2.82, 4 Re 2.82, 4 Nb 2.97
Pt1 0.5000 0.0000 0.0000  8 Nb 2.82, 4 Re 2.97

Results
- E_form (eV per atom) = -0.29
- total moment (μB per cell) = 0.000

---

Nb2RePt: relaxed, PBE.

Cell lengths 3.3397, 3.3397, 6.0079 Å; angles 90.00, 90.00, 90.00 degrees
Last column: nearest neighbours and their distance in Å.
Sites, in units of the cell vectors:
Re1 0.5000 0.5000 0.0000  8 Nb 2.78, 2 Pt 3.00
Nb1 0.0000 0.0000 0.7546  4 Re 2.78, 4 Pt 2.81, 2 Nb 2.95-3.06
Nb2 0.0000 0.0000 0.2454  4 Re 2.78, 4 Pt 2.81, 2 Nb 2.95-3.06
Pt1 0.5000 0.5000 0.5000  8 Nb 2.81, 2 Re 3.00

Results
- E_form (eV per atom) = -0.31
- total moment (μB per cell) = 0.000

---

NbRePt2: relaxed, PBE.

Cell lengths 4.5217, 4.5217, 4.5217 Å; angles 60.00, 60.00, 60.00 degrees
Last column: nearest neighbours and their distance in Å.
Sites, in units of the cell vectors:
Re1 0.5000 0.5000 0.5000  8 Pt 2.77
Nb1 0.0000 0.0000 0.0000  8 Pt 2.77
Pt1 0.2500 0.2500 0.2500  4 Nb 2.77, 4 Re 2.77
Pt2 0.7500 0.7500 0.7500  4 Nb 2.77, 4 Re 2.77

Results
- excess energy over the best structure of this formula in the dataset (meV per atom) = 0
- E_form (eV per atom) = 0.11
- total moment (μB per cell) = 0.002

---

Nb2Re2Pt: relaxed, PBE.

Cell lengths 3.5606, 3.5606, 7.5862 Å; angles 76.43, 76.43, 90.00 degrees
Last column: nearest neighbours and their distance in Å.
Sites, in units of the cell vectors:
Re1 0.7500 0.2500 0.5000  4 Re 2.52
Re2 0.2500 0.7500 0.5000  4 Re 2.52
Nb1 0.4031 0.4031 0.1939  1 Nb 2.78, 4 Re 2.82, 4 Pt 2.87
Nb2 0.5969 0.5969 0.8061  1 Nb 2.78, 4 Re 2.82, 4 Pt 2.87
Pt1 0.0000 0.0000 0.0000  8 Nb 2.87

Results
- excess energy over the best structure of this formula in the dataset (meV per atom) = 69
- E_form (eV per atom) = 0.39
- total moment (μB per cell) = 0.000

---

Nb3RePt: relaxed, PBE.

Cell lengths 4.7948, 4.7948, 4.7948 Å; angles 90.00, 90.00, 90.00 degrees
Last column: nearest neighbours and their distance in Å.
Sites, in units of the cell vectors:
Re1 0.0000 0.0000 0.0000  6 Nb 2.40
Nb1 0.0000 0.5000 0.0000  2 Re 2.40
Nb2 0.0000 0.0000 0.5000  2 Re 2.40
Nb3 0.5000 0.0000 0.0000  2 Re 2.40
Pt1 0.5000 0.5000 0.5000  12 Nb 3.39

Results
- E_form (eV per atom) = 1.14
- total moment (μB per cell) = 0.000

---

NbRe3Pt: relaxed, PBE.

Cell lengths 4.6970, 4.6970, 4.6970 Å; angles 90.00, 90.00, 90.00 degrees
Last column: nearest neighbours and their distance in Å.
Sites, in units of the cell vectors:
Re1 0.0000 0.5000 0.0000  2 Pt 2.35
Re2 0.0000 0.0000 0.5000  2 Pt 2.35
Re3 0.5000 0.0000 0.0000  2 Pt 2.35
Nb1 0.5000 0.5000 0.5000  12 Re 3.32
Pt1 0.0000 0.0000 0.0000  6 Re 2.35

Results
- excess energy over the best structure of this formula in the dataset (meV per atom) = 0
- E_form (eV per atom) = 2.28
- total moment (μB per cell) = 0.000

---

NbRe2Pt: relaxed, PBE.

Cell lengths 3.8320, 3.8320, 9.9259 Å; angles 78.87, 78.87, 90.00 degrees
Last column: nearest neighbours and their distance in Å.
Sites, in units of the cell vectors:
Re1 0.6666 0.1250 0.2500  2 Re 2.49, 2 Pt 2.69
Re2 0.0834 0.6250 0.2500  2 Re 2.49, 2 Pt 2.69
Re3 0.3750 0.3334 0.7500  2 Re 2.49, 2 Pt 2.69
Re4 0.8750 0.9166 0.7500  2 Re 2.49, 2 Pt 2.69
Nb1 0.5000 0.5000 0.0000  4 Pt 2.71, 4 Re 2.80
Nb2 0.2500 0.7500 0.5000  4 Pt 2.71, 4 Re 2.80
Pt1 0.0000 0.0000 0.0000  4 Re 2.69, 4 Nb 2.71
Pt2 0.7500 0.2500 0.5000  4 Re 2.69, 4 Nb 2.71

Results
- excess energy over the best structure of this formula in the dataset (meV per atom) = 716
- E_form (eV per atom) = 0.48
- total moment (μB per cell) = 0.000

---

NbRe2Pt: relaxed, PBE.

Cell lengths 4.0383, 3.9395, 3.9395 Å; angles 90.00, 90.00, 90.00 degrees
Last column: nearest neighbours and their distance in Å.
Sites, in units of the cell vectors:
Re1 0.0000 0.0000 0.5000  4 Re 2.79, 4 Nb 2.82, 4 Pt 2.82
Re2 0.0000 0.5000 0.0000  4 Re 2.79, 4 Nb 2.82, 4 Pt 2.82
Nb1 0.5000 0.5000 0.5000  4 Pt 2.79, 8 Re 2.82
Pt1 0.5000 0.0000 0.0000  4 Nb 2.79, 8 Re 2.82

Results
- excess energy over the best structure of this formula in the dataset (meV per atom) = 0
- E_form (eV per atom) = -0.23
- total moment (μB per cell) = 0.000

---

NbRePt2Rh: relaxed, PBE.

Cell lengths 4.8068, 4.6945, 4.8068 Å; angles 90.00, 90.00, 90.00 degrees
Last column: nearest neighbours and their distance in Å.
Sites, in units of the cell vectors:
Re1 0.0000 0.0000 0.0000  2 Nb 2.35, 4 Pt 2.40
Nb1 0.0000 0.5000 0.0000  2 Re 2.35
Rh1 0.5000 0.5000 0.5000  8 Pt 3.36, 4 Nb 3.40
Pt1 0.0000 0.0000 0.5000  2 Re 2.40
Pt2 0.5000 0.0000 0.0000  2 Re 2.40

Results
- E_form (eV per atom) = 1.37
- total moment (μB per cell) = 0.000

---

TaNbRePt2: relaxed, PBE.

Cell lengths 4.7908, 4.7346, 4.7908 Å; angles 90.00, 90.00, 90.00 degrees
Last column: nearest neighbours and their distance in Å.
Sites, in units of the cell vectors:
Re1 0.0000 0.0000 0.0000  2 Nb 2.37, 4 Pt 2.40
Nb1 0.0000 0.5000 0.0000  2 Re 2.37
Pt1 0.0000 0.0000 0.5000  2 Re 2.40
Pt2 0.5000 0.0000 0.0000  2 Re 2.40
Ta1 0.5000 0.5000 0.5000  8 Pt 3.37, 4 Nb 3.39

Results
- E_form (eV per atom) = 1.41
- total moment (μB per cell) = 0.007

---

Zr2NbRePt: relaxed, PBE.

Cell lengths 5.0245, 4.7390, 5.0245 Å; angles 90.00, 90.00, 90.00 degrees
Last column: nearest neighbours and their distance in Å.
Sites, in units of the cell vectors:
Re1 0.0000 0.5000 0.0000  2 Pt 2.37
Nb1 0.5000 0.5000 0.5000  8 Zr 3.45, 4 Re 3.55
Zr1 0.0000 0.0000 0.5000  2 Pt 2.51
Zr2 0.5000 0.0000 0.0000  2 Pt 2.51
Pt1 0.0000 0.0000 0.0000  2 Re 2.37, 4 Zr 2.51

Results
- E_form (eV per atom) = 1.04
- total moment (μB per cell) = 1.345

---

Nb2PtRh3: relaxed, PBE.

Cell lengths 3.8617, 3.9822, 6.3822 Å; angles 108.18, 90.00, 90.00 degrees
Last column: nearest neighbours and their distance in Å.
Sites, in units of the cell vectors:
Nb1 0.0000 0.6593 0.3186  8 Rh 2.73-2.86, 2 Pt 2.77, 2 Nb 2.97
Nb2 0.0000 0.3407 0.6814  8 Rh 2.73-2.86, 2 Pt 2.77, 2 Nb 2.97
Pt1 0.0000 0.0000 0.0000  8 Rh 2.77-2.80, 4 Nb 2.77
Rh1 0.5000 0.1671 0.3342  6 Nb 2.78-2.86, 2 Pt 2.80, 4 Rh 2.83-2.84
Rh2 0.5000 0.5000 0.0000  4 Nb 2.73, 4 Pt 2.77, 4 Rh 2.84
Rh3 0.5000 0.8329 0.6658  6 Nb 2.78-2.86, 2 Pt 2.80, 4 Rh 2.83-2.84

Results
- excess energy over the best structure of this formula in the dataset (meV per atom) = 0
- E_form (eV per atom) = -0.53
- total moment (μB per cell) = 0.000

---

Nb2PtRh: relaxed, PBE.

Cell lengths 7.1722, 7.1722, 5.7750 Å; angles 51.61, 51.61, 90.00 degrees
Last column: nearest neighbours and their distance in Å.
Sites, in units of the cell vectors:
Nb1 0.6138 0.1250 0.2500  2 Rh 2.57, 2 Pt 2.68, 2 Nb 2.77
Nb2 0.1362 0.6250 0.2500  2 Rh 2.57, 2 Pt 2.68, 2 Nb 2.77
Nb3 0.3750 0.3862 0.7500  2 Rh 2.57, 2 Pt 2.68, 2 Nb 2.77
Nb4 0.8750 0.8638 0.7500  2 Rh 2.57, 2 Pt 2.68, 2 Nb 2.77
Rh1 0.5000 0.5000 0.0000  4 Nb 2.57, 2 Pt 2.76
Rh2 0.2500 0.7500 0.5000  4 Nb 2.57, 2 Pt 2.76
Pt1 0.0000 0.0000 0.0000  4 Nb 2.68, 2 Rh 2.76
Pt2 0.7500 0.2500 0.5000  4 Nb 2.68, 2 Rh 2.76

Results
- E_form (eV per atom) = -0.05
- total moment (μB per cell) = 0.000

---

NbPtRh2: relaxed, PBE.

Cell lengths 3.8474, 3.8474, 9.4767 Å; angles 78.29, 78.29, 90.00 degrees
Last column: nearest neighbours and their distance in Å.
Sites, in units of the cell vectors:
Nb1 0.5000 0.5000 0.0000  4 Rh 2.66, 4 Pt 2.72
Nb2 0.2500 0.7500 0.5000  4 Rh 2.66, 4 Pt 2.72
Rh1 0.6333 0.1250 0.2500  2 Pt 2.63, 2 Nb 2.66, 4 Rh 2.68-2.77
Rh2 0.1167 0.6250 0.2500  2 Pt 2.63, 2 Nb 2.66, 4 Rh 2.68-2.77
Rh3 0.3750 0.3667 0.7500  2 Pt 2.63, 2 Nb 2.66, 4 Rh 2.68-2.77
Rh4 0.8750 0.8833 0.7500  2 Pt 2.63, 2 Nb 2.66, 4 Rh 2.68-2.77
Pt1 0.0000 0.0000 0.0000  4 Rh 2.63, 4 Nb 2.72
Pt2 0.7500 0.2500 0.5000  4 Rh 2.63, 4 Nb 2.72

Results
- E_form (eV per atom) = -0.04
- total moment (μB per cell) = 0.000

---

Nb3PtRh: relaxed, PBE.

Cell lengths 4.7525, 4.7525, 4.7525 Å; angles 90.00, 90.00, 90.00 degrees
Last column: nearest neighbours and their distance in Å.
Sites, in units of the cell vectors:
Nb1 0.0000 0.5000 0.0000  2 Rh 2.38
Nb2 0.0000 0.0000 0.5000  2 Rh 2.38
Nb3 0.5000 0.0000 0.0000  2 Rh 2.38
Rh1 0.0000 0.0000 0.0000  6 Nb 2.38
Pt1 0.5000 0.5000 0.5000  12 Nb 3.36

Results
- excess energy over the best structure of this formula in the dataset (meV per atom) = 1090
- E_form (eV per atom) = 0.96
- total moment (μB per cell) = 0.000